Density functional theory data (PBE-GGA) for an optimized crystal structure of NdPtPb.

## Properties
N(E_F)   0.594 states/eV/atom
SG   No. 51
Uncorrected energy   -5.653 eV per atom
Energy of formation   -2.44 eV per formula unit
Crystal system   orthorhombic

Geometry as POSCAR:
```
NdPtPb
1.0
-3.449 1.625 -1.122
-3.826 -4.379 5.421
1.753 10.349 9.597
Pt Nd Pb
6 6 6
Direct
0.500 0.073 0.408
0.000 0.566 0.250
0.500 0.927 0.908
0.500 0.073 0.092
0.000 0.434 0.750
0.500 0.927 0.592
0.000 0.219 0.551
0.000 0.781 0.449
0.000 0.219 0.949
0.000 0.833 0.750
0.000 0.781 0.051
0.000 0.167 0.250
0.500 0.560 0.618
0.500 0.440 0.118
0.500 0.440 0.382
0.500 0.828 0.250
0.500 0.560 0.882
0.500 0.172 0.750
```



Density functional theory data (PBE-GGA) for an optimized crystal structure of Nd5PtPb2.

## Properties
N(E_F)   1.117 states/eV/atom
SG   No. 55
Uncorrected energy   -5.319 eV per atom
Energy of formation   -5.26 eV per formula unit
Crystal system   orthorhombic

Geometry as POSCAR:
```
Nd5PtPb2
1.0
-0.262 -2.734 -3.857
8.224 0.333 -0.795
1.128 -10.421 7.309
Nd Pt Pb
10 2 4
Direct
0.500 0.816 0.935
0.500 0.184 0.065
0.000 0.000 0.500
0.000 0.146 0.791
0.500 0.684 0.435
0.000 0.500 0.000
0.000 0.646 0.709
0.000 0.854 0.209
0.500 0.316 0.565
0.000 0.354 0.291
0.000 0.000 0.000
0.000 0.500 0.500
0.500 0.926 0.672
0.500 0.074 0.328
0.500 0.574 0.172
0.500 0.426 0.828
```



Density functional theory data (PBE-GGA) for an optimized crystal structure of Nd2Pt3Pb.

## Properties
N(E_F)   0.421 states/eV/atom
SG   No. 69
Uncorrected energy   -6.020 eV per atom
Energy of formation   -4.75 eV per formula unit
Crystal system   orthorhombic

Geometry as POSCAR:
```
Nd2Pt3Pb
1.0
-1.447 -5.870 0.263
2.940 0.333 -5.278
6.110 1.245 6.230
Pt Nd Pb
6 4 2
Direct
0.162 0.162 0.325
0.836 0.329 0.166
0.671 0.164 0.834
0.164 0.671 0.834
0.838 0.838 0.675
0.329 0.836 0.166
0.236 0.236 0.000
0.764 0.764 0.000
0.250 0.750 0.500
0.750 0.250 0.500
0.666 0.666 0.331
0.334 0.334 0.669
```



Density functional theory data (PBE-GGA) for an optimized crystal structure of NdPtPb.

## Properties
N(E_F)   0.410 states/eV/atom
SG   No. 63
Uncorrected energy   -5.543 eV per atom
Energy of formation   -2.11 eV per formula unit
Crystal system   orthorhombic

Geometry as POSCAR:
```
NdPtPb
1.0
3.703 0.000 0.000
0.000 4.965 0.000
-1.851 0.000 8.448
Pt Nd Pb
2 2 2
Direct
0.554 0.250 0.108
0.446 0.750 0.892
0.083 0.750 0.166
0.917 0.250 0.834
0.216 0.250 0.431
0.784 0.750 0.569
```